A geometry-optimized NdEr3Ir structure, computed with GGA-PBE. Values from VASP.

Output
volume: 562.12 Å³/cell
space-group type: P2_1/c, No. 14
offset from the most stable computed form: 0.0000 eV per atom
uncorrected energy: -5.8379 eV per atom
ΔH_f (0 K): -374 meV per atom

```
&SYSTEM
  ibrav = 0, nat = 20, ntyp = 3
/
ATOMIC_SPECIES
Er 167.26 Er.upf
Ir 192.22 Ir.upf
Nd 144.24 Nd.upf
ATOMIC_POSITIONS crystal
Er 0.373 0.092 0.897
Er 0.206 0.574 0.531
Er 0.294 0.574 0.031
Ir 0.745 0.057 0.392
Er 0.794 0.426 0.469
Er 0.488 0.792 0.381
Er 0.988 0.208 0.119
Er 0.512 0.208 0.619
Nd 0.043 0.311 0.745
Nd 0.957 0.689 0.255
Nd 0.543 0.689 0.755
Er 0.873 0.908 0.603
Ir 0.755 0.057 0.892
Ir 0.255 0.943 0.608
Er 0.012 0.792 0.881
Nd 0.457 0.311 0.245
Er 0.706 0.426 0.969
Er 0.627 0.908 0.103
Er 0.127 0.092 0.397
Ir 0.245 0.943 0.108
CELL_PARAMETERS angstrom
7.374 0.000 0.000
0.000 7.878 -0.119
0.000 -2.725 9.717
```

---

A geometry-optimized NdErIr structure, computed with GGA-PBE. Values from VASP.

Output
volume: 162.69 Å³/cell
space-group type: P-1, No. 2
offset from the most stable computed form: 0.0000 eV per atom
uncorrected energy: -6.6837 eV per atom
ΔH_f (0 K): -620 meV per atom

```
&SYSTEM
  ibrav = 0, nat = 6, ntyp = 3
/
ATOMIC_SPECIES
Ir 192.22 Ir.upf
Nd 144.24 Nd.upf
Er 167.26 Er.upf
ATOMIC_POSITIONS crystal
Ir 0.000 0.000 0.000
Nd 0.499 0.002 0.750
Nd 0.501 0.998 0.250
Ir 0.500 0.500 0.500
Er 0.999 0.502 0.750
Er 0.001 0.498 0.250
CELL_PARAMETERS angstrom
-1.624 2.860 3.592
-4.260 0.480 -2.308
-2.396 -5.517 3.301
```

---

A geometry-optimized Nd5ErIr4 structure, computed with GGA-PBE. Values from VASP.

Output
volume: 278.08 Å³/cell
space-group type: C2/m, No. 12
uncorrected energy: -6.9309 eV per atom
ΔH_f (0 K): -546 meV per atom

```
&SYSTEM
  ibrav = 0, nat = 10, ntyp = 3
/
ATOMIC_SPECIES
Ir 192.22 Ir.upf
Er 167.26 Er.upf
Nd 144.24 Nd.upf
ATOMIC_POSITIONS crystal
Ir 0.698 0.198 0.395
Ir 0.000 0.242 0.000
Er 0.500 0.000 0.000
Nd 0.164 0.408 0.329
Nd 0.164 0.921 0.329
Ir 0.000 0.758 0.000
Nd 0.836 0.079 0.671
Nd 0.836 0.592 0.671
Nd 0.500 0.500 0.000
Ir 0.302 0.802 0.605
CELL_PARAMETERS angstrom
-1.458 -0.632 3.993
5.045 -5.566 0.961
3.872 8.766 0.489
```

---

no.,magnetization (Bohr magnetons per cell)
1,0.01
2,0.00
3,0.00